[1]
Computed, not measured: NaYAuF2 after structural relaxation at the PBE level of DFT.

Density of states at the Fermi level (states/eV/cell): 2.31
Raw formation energy (eV/f.u.): -11.14

Cell: 4.371 4.371 6.098 Å, 90.00 90.00 90.00°
Positions (direct):
Na1 0.000 0.000 0.000
Y1 0.500 0.500 0.500
Au1 0.500 0.500 0.000
F1 0.000 0.500 0.500
F2 0.500 0.000 0.500

[2]
Computed, not measured: Li2SmTc2N4 after structural relaxation at the PBE level of DFT.

Density of states at the Fermi level (states/eV/cell): 4.24
Raw formation energy (eV/f.u.): -3.93

Cell: 5.475 5.475 8.172 Å, 118.60 118.60 35.22°
Positions (direct):
Li1 0.144 0.144 0.237
Li2 0.856 0.856 0.763
Sm1 0.000 0.000 0.500
Tc1 0.354 0.354 0.114
Tc2 0.646 0.646 0.886
N1 0.226 0.226 0.819
N2 0.451 0.451 0.681
N3 0.549 0.549 0.319
N4 0.774 0.774 0.181

[3]
Computed, not measured: Ce6GaBr8 after structural relaxation at the PBE level of DFT.

Density of states at the Fermi level (states/eV/cell): 35.26
Raw formation energy (eV/f.u.): -20.35

Cell: 11.493 11.493 11.493 Å, 36.66 36.66 36.66°
Positions (direct):
Ce1 0.115 0.446 0.777
Ce2 0.223 0.885 0.554
Ce3 0.446 0.777 0.115
Ce4 0.554 0.223 0.885
Ce5 0.777 0.115 0.446
Ce6 0.885 0.554 0.223
Ga1 0.500 0.500 0.500
Br1 0.058 0.720 0.389
Br2 0.167 0.167 0.167
Br3 0.280 0.611 0.942
Br4 0.389 0.058 0.720
Br5 0.611 0.942 0.280
Br6 0.720 0.389 0.058
Br7 0.833 0.833 0.833
Br8 0.942 0.280 0.611

[4]
Computed, not measured: ScSeNO2 after structural relaxation at the PBE level of DFT.

Density of states at the Fermi level (states/eV/cell): 1.18
Raw formation energy (eV/f.u.): -2.28

Cell: 3.848 3.848 4.056 Å, 90.00 90.00 90.00°
Positions (direct):
Sc1 0.000 0.000 0.000
Se1 0.500 0.500 0.500
N1 0.500 0.500 0.000
O1 0.000 0.500 0.500
O2 0.500 0.000 0.500

[5]
Computed, not measured: Sc4ZnSnO after structural relaxation at the PBE level of DFT.

Density of states at the Fermi level (states/eV/cell): 5.73
Raw formation energy (eV/f.u.): -8.02

Cell: 8.063 8.063 6.074 Å, 90.00 90.00 135.84°
Positions (direct):
Sc1 0.000 0.500 0.000
Sc2 0.000 0.500 0.500
Sc3 0.077 0.923 0.750
Sc4 0.410 0.590 0.750
Sc5 0.500 0.000 0.000
Sc6 0.500 0.000 0.500
Sc7 0.590 0.410 0.250
Sc8 0.923 0.077 0.250
Zn1 0.118 0.882 0.250
Zn2 0.882 0.118 0.750
Sn1 0.394 0.606 0.250
Sn2 0.606 0.394 0.750
O1 0.250 0.750 0.750
O2 0.750 0.250 0.250

[6]
Computed, not measured: LiAc2Mg3Tl4 after structural relaxation at the PBE level of DFT.

Raw total energy (eV per atom): -2.68
Density of states at the Fermi level (states/eV/cell): 5.58

Cell: 4.894 4.894 11.706 Å, 90.00 90.00 90.00°
Positions (direct):
Li1 0.000 0.000 0.000
Ac1 0.000 0.500 0.752
Ac2 0.500 0.000 0.248
Mg1 0.000 0.500 0.363
Mg2 0.500 0.000 0.637
Mg3 0.500 0.500 0.000
Tl1 0.000 0.000 0.500
Tl2 0.000 0.500 0.126
Tl3 0.500 0.000 0.874
Tl4 0.500 0.500 0.500

[7]
Computed, not measured: Ba2AcCdO4 after structural relaxation at the PBE level of DFT.

Density of states at the Fermi level (states/eV/cell): 2.33
Raw formation energy (eV/f.u.): -17.32

Cell: 6.645 3.909 6.703 Å, 90.00 108.58 90.00°
Positions (direct):
Ba1 0.000 0.000 0.000
Ba2 0.500 0.500 0.000
Ac1 0.000 0.500 0.500
Cd1 0.500 0.000 0.500
O1 0.221 0.500 0.251
O2 0.223 0.000 0.733
O3 0.777 0.000 0.267
O4 0.779 0.500 0.749

[8]
Computed, not measured: CrIn2Ir after structural relaxation at the PBE level of DFT.

Distance to the lowest polymorph of the same formula (eV/atom): 0.153
Density of states at the Fermi level (states/eV/cell): 2.21

Cell: 3.190 4.417 5.393 Å, 90.00 102.85 90.00°
Positions (direct):
Cr1 0.000 0.000 0.000
In1 0.329 0.000 0.544
In2 0.584 0.500 0.192
Ir1 0.901 0.500 0.735

[9]
Computed, not measured: Mn2AlFe after structural relaxation at the PBE level of DFT.

Raw total energy (eV per atom): -7.65
Density of states at the Fermi level (states/eV/cell): 5.35

Cell: 2.523 4.078 4.608 Å, 90.00 100.32 90.00°
Positions (direct):
Mn1 0.196 0.000 0.246
Mn2 0.804 0.000 0.754
Al1 0.500 0.500 0.000
Fe1 0.000 0.500 0.500

[10]
Computed, not measured: HfTaF3 after structural relaxation at the PBE level of DFT.

Distance to the lowest polymorph of the same formula (eV/atom): 0.273
Density of states at the Fermi level (states/eV/cell): 2.93
Raw formation energy (eV/f.u.): -4.00

Cell: 4.333 4.333 4.333 Å, 90.00 90.00 90.00°
Positions (direct):
Hf1 0.000 0.000 0.000
Ta1 0.500 0.500 0.500
F1 0.000 0.500 0.500
F2 0.500 0.000 0.500
F3 0.500 0.500 0.000

[11]
Computed, not measured: LiAc2Sn6Ge after structural relaxation at the PBE level of DFT.

Raw total energy (eV per atom): -4.18
Density of states at the Fermi level (states/eV/cell): 9.35

Cell: 8.994 9.434 6.969 Å, 90.00 90.00 90.00°
Positions (direct):
Li1 0.250 0.250 0.130
Li2 0.750 0.750 0.870
Ac1 0.250 0.028 0.681
Ac2 0.250 0.472 0.681
Ac3 0.750 0.528 0.319
Ac4 0.750 0.972 0.319
Sn1 0.022 0.750 0.027
Sn2 0.026 0.250 0.402
Sn3 0.250 0.539 0.166
Sn4 0.250 0.961 0.166
Sn5 0.474 0.250 0.402
Sn6 0.478 0.750 0.027
Sn7 0.522 0.250 0.973
Sn8 0.526 0.750 0.598
Sn9 0.750 0.039 0.834
Sn10 0.750 0.461 0.834
Sn11 0.974 0.750 0.598
Sn12 0.978 0.250 0.973
Ge1 0.250 0.750 0.431
Ge2 0.750 0.250 0.569

[12]
Computed, not measured: Ta4Au5 after structural relaxation at the PBE level of DFT.

Distance to the lowest polymorph of the same formula (eV/atom): 0.085
Density of states at the Fermi level (states/eV/cell): 12.81

Cell: 8.097 8.097 5.725 Å, 90.00 90.00 120.00°
Positions (direct):
Ta1 0.000 0.000 0.000
Ta2 0.000 0.000 0.500
Ta3 0.000 0.316 0.250
Ta4 0.000 0.684 0.750
Ta5 0.316 0.000 0.250
Ta6 0.316 0.316 0.750
Ta7 0.684 0.000 0.750
Ta8 0.684 0.684 0.250
Au1 0.000 0.341 0.750
Au2 0.000 0.659 0.250
Au3 0.333 0.667 0.000
Au4 0.333 0.667 0.500
Au5 0.341 0.000 0.750
Au6 0.341 0.341 0.250
Au7 0.659 0.000 0.250
Au8 0.659 0.659 0.750
Au9 0.667 0.333 0.000
Au10 0.667 0.333 0.500

[13]
Computed, not measured: BaZn5Cu2 after structural relaxation at the PBE level of DFT.

Raw total energy (eV per atom): -2.17
Density of states at the Fermi level (states/eV/cell): 7.84

Cell: 4.122 7.338 10.079 Å, 90.00 90.00 90.00°
Positions (direct):
Ba1 0.000 0.000 0.000
Ba2 0.500 0.500 0.500
Zn1 0.000 0.182 0.341
Zn2 0.000 0.182 0.659
Zn3 0.000 0.500 0.000
Zn4 0.000 0.818 0.341
Zn5 0.000 0.818 0.659
Zn6 0.500 0.000 0.500
Zn7 0.500 0.318 0.159
Zn8 0.500 0.318 0.841
Zn9 0.500 0.682 0.159
Zn10 0.500 0.682 0.841
Cu1 0.000 0.500 0.242
Cu2 0.000 0.500 0.758
Cu3 0.500 0.000 0.258
Cu4 0.500 0.000 0.742

[14]
Computed, not measured: KInAgCl6 after structural relaxation at the PBE level of DFT.

Density of states at the Fermi level (states/eV/cell): 0.96
Raw formation energy (eV/f.u.): -9.42

Cell: 6.648 6.648 6.925 Å, 92.24 92.24 115.35°
Positions (direct):
K1 0.000 0.000 0.000
In1 0.667 0.333 0.500
Ag1 0.323 0.677 0.500
Cl1 0.361 0.024 0.690
Cl2 0.368 0.390 0.284
Cl3 0.610 0.632 0.716
Cl4 0.634 0.034 0.262
Cl5 0.966 0.366 0.738
Cl6 0.976 0.639 0.310

[15]
Computed, not measured: Cs2LiPu3O12 after structural relaxation at the PBE level of DFT.

Density of states at the Fermi level (states/eV/cell): 8.17
Raw formation energy (eV/f.u.): -41.20

Cell: 7.499 7.499 7.499 Å, 63.71 63.71 63.71°
Positions (direct):
Cs1 0.124 0.124 0.124
Cs2 0.876 0.876 0.876
Li1 0.500 0.500 0.500
Pu1 0.000 0.500 0.500
Pu2 0.500 0.000 0.500
Pu3 0.500 0.500 0.000
O1 0.171 0.563 0.563
O2 0.181 0.181 0.568
O3 0.181 0.568 0.181
O4 0.432 0.819 0.819
O5 0.437 0.437 0.829
O6 0.437 0.829 0.437
O7 0.563 0.171 0.563
O8 0.563 0.563 0.171
O9 0.568 0.181 0.181
O10 0.819 0.432 0.819
O11 0.819 0.819 0.432
O12 0.829 0.437 0.437

[16]
Computed, not measured: CsNaP2Cl after structural relaxation at the PBE level of DFT.

Distance to the lowest polymorph of the same formula (eV/atom): 0.512
Density of states at the Fermi level (states/eV/cell): 4.25
Raw formation energy (eV/f.u.): 3.59

Cell: 6.162 6.162 6.407 Å, 90.00 90.00 90.00°
Positions (direct):
Cs1 0.000 0.000 0.000
Na1 0.500 0.500 0.500
P1 0.000 0.500 0.000
P2 0.500 0.000 0.000
Cl1 0.000 0.000 0.500

[17]
Computed, not measured: MnNiH after structural relaxation at the PBE level of DFT.

Raw total energy (eV per atom): -6.13
Density of states at the Fermi level (states/eV/cell): 3.11

Cell: 8.500 8.500 8.500 Å, 17.24 17.24 17.24°
Positions (direct):
Mn1 0.000 0.000 0.000
Mn2 0.408 0.408 0.408
Ni1 0.246 0.246 0.246
Ni2 0.830 0.830 0.830
H1 0.121 0.121 0.121
H2 0.621 0.621 0.621

[18]
Computed, not measured: Y2MgCoPb after structural relaxation at the PBE level of DFT.

Raw total energy (eV per atom): -5.24
Density of states at the Fermi level (states/eV/cell): 2.08

Cell: 5.100 5.100 4.919 Å, 90.00 90.00 90.00°
Positions (direct):
Y1 0.000 0.500 0.000
Y2 0.500 0.000 0.000
Mg1 0.000 0.000 0.500
Co1 0.000 0.000 0.000
Pb1 0.500 0.500 0.500

[19]
Computed, not measured: Cr2NiTe after structural relaxation at the PBE level of DFT.

Density of states at the Fermi level (states/eV/cell): 6.52
Raw formation energy (eV/f.u.): 0.95

Cell: 3.849 3.956 7.806 Å, 90.00 90.00 90.00°
Positions (direct):
Cr1 0.000 0.000 0.000
Cr2 0.000 0.500 0.246
Cr3 0.500 0.000 0.746
Cr4 0.500 0.500 0.500
Ni1 0.000 0.500 0.750
Ni2 0.500 0.000 0.250
Te1 0.000 0.000 0.494
Te2 0.500 0.500 0.994

[20]
Computed, not measured: Hf2ZrCd2 after structural relaxation at the PBE level of DFT.

Distance to the lowest polymorph of the same formula (eV/atom): 0.246
Density of states at the Fermi level (states/eV/cell): 12.52

Cell: 8.152 8.152 3.351 Å, 90.00 90.00 90.00°
Positions (direct):
Hf1 0.178 0.322 0.000
Hf2 0.322 0.822 0.000
Hf3 0.678 0.178 0.000
Hf4 0.822 0.678 0.000
Zr1 0.000 0.000 0.500
Zr2 0.500 0.500 0.500
Cd1 0.123 0.623 0.500
Cd2 0.377 0.123 0.500
Cd3 0.623 0.877 0.500
Cd4 0.877 0.377 0.500

[21]
Computed, not measured: YErZn10 after structural relaxation at the PBE level of DFT.

Raw total energy (eV per atom): -2.26
Density of states at the Fermi level (states/eV/cell): 5.22

Cell: 4.209 5.310 9.150 Å, 90.00 90.00 90.00°
Positions (direct):
Y1 0.000 0.000 0.000
Er1 0.000 0.500 0.500
Zn1 0.000 0.000 0.336
Zn2 0.000 0.000 0.664
Zn3 0.000 0.500 0.168
Zn4 0.000 0.500 0.832
Zn5 0.500 0.000 0.500
Zn6 0.500 0.250 0.251
Zn7 0.500 0.250 0.749
Zn8 0.500 0.500 0.000
Zn9 0.500 0.750 0.251
Zn10 0.500 0.750 0.749

[22]
Computed, not measured: LaZnIn after structural relaxation at the PBE level of DFT.

Raw total energy (eV per atom): -3.45
Density of states at the Fermi level (states/eV/cell): 9.97

Cell: 4.855 7.831 8.133 Å, 90.00 90.00 90.00°
Positions (direct):
La1 0.000 0.000 0.000
La2 0.000 0.500 0.055
La3 0.500 0.000 0.555
La4 0.500 0.500 0.500
Zn1 0.000 0.317 0.697
Zn2 0.000 0.683 0.697
Zn3 0.500 0.183 0.197
Zn4 0.500 0.817 0.197
In1 0.000 0.213 0.369
In2 0.000 0.787 0.369
In3 0.500 0.287 0.869
In4 0.500 0.713 0.869

[23]
Computed, not measured: TmZn3Hg after structural relaxation at the PBE level of DFT.

Raw total energy (eV per atom): -1.85
Density of states at the Fermi level (states/eV/cell): 4.78

Cell: 13.112 13.112 3.600 Å, 90.00 90.00 160.91°
Positions (direct):
Tm1 0.176 0.824 0.000
Tm2 0.824 0.176 0.000
Zn1 0.051 0.949 0.500
Zn2 0.272 0.728 0.500
Zn3 0.454 0.546 0.000
Zn4 0.546 0.454 0.000
Zn5 0.728 0.272 0.500
Zn6 0.949 0.051 0.500
Hg1 0.376 0.624 0.500
Hg2 0.624 0.376 0.500